(1)
NdSmY2Ho: optimized geometry, GGA-PBE.

## Properties
- E_form (eV/atom) = 0.39
- total magnetization (μB/f.u.) = 0.00
- electronic total energy (eV/atom) = -5.01
- volume (Å³ per atom) = 35.3

Structure (POSCAR):
```
NdSmY2Ho
1.0
-6.4740 3.1747 0.0311
-1.7062 -3.5529 7.5027
3.1141 6.3608 -1.0663
Nd Sm Y Ho
2 2 4 2
Cartesian
-1.4353 1.1184 4.9898 Nd
-3.6308 4.8642 1.4777 Nd
-0.2280 3.5663 6.4236 Sm
-4.8381 2.4162 0.0440 Sm
-3.7691 0.4794 2.3553 Y
-1.1741 -2.4449 5.1629 Y
-4.4111 -0.8576 5.1785 Y
-0.5321 -1.1080 2.3398 Y
-4.6913 2.6673 4.9828 Ho
-0.3749 3.3153 1.4847 Ho
```

---

(2)
TlTeBr2: optimized geometry, GGA-PBE.

## Properties
- energy above the lowest structure with this stoichiometry (eV per formula unit) = 1.44
- total magnetization (μB/f.u.) = 0.00
- electronic total energy (eV/atom) = -2.16
- ΔE_f (raw) (meV per atom) = 50
- volume (Å³ per atom) = 28.9

Structure (POSCAR):
```
TlTeBr2
1.0
5.4679 0.0000 0.0000
2.7340 4.7354 0.0000
2.7340 1.5785 4.4646
Tl Te Br
1 1 2
Cartesian
8.2019 4.7354 3.3484 Tl
5.4679 3.1569 2.2323 Te
0.0000 0.0000 0.0000 Br
2.7340 1.5785 1.1161 Br
```